Below is a relaxed MgZnW3 crystal, with properties calculated at the PBE level.

As for the formation energy: 1.8691 eV/atom.

The space group is Pm-3m (No. 221) and the conventional cell measures 4.6016, 4.6016 and 4.6016 Å, with angles of 90.00, 90.00 and 90.00 degrees. Symmetry generates all atoms from Mg at (0.0000, 0.0000, 0.0000), Zn at (0.5000, 0.5000, 0.5000) and W at (0.0000, 0.5000, 0.5000).